Entry 1:
AlPtW2: relaxed, GGA-PBE.

abc: 3.715 3.715 10.125
angles: 79.43 79.43 90.00
Fractional coordinates of all 8 atoms:
W1 0.614 0.125 0.250
W2 0.136 0.625 0.250
W3 0.375 0.386 0.750
W4 0.875 0.864 0.750
Pt1 0.000 0.000 0.000
Pt2 0.750 0.250 0.500
Al1 0.500 0.500 0.000
Al2 0.250 0.750 0.500

Total magnetization, Bohr magnetons per cell: 0.0
Formation energy from the elements, eV per atom: 0.280
Crystal system: tetragonal



Entry 2:
SmY4Pd2: relaxed, GGA-PBE.

abc: 6.459 7.854 8.193
angles: 112.78 90.00 90.00
Fractional coordinates of all 14 atoms:
Sm1 0.250 0.849 0.976
Sm2 0.750 0.151 0.024
Y1 0.505 0.407 0.769
Y2 0.250 0.246 0.350
Y3 0.750 0.754 0.650
Y4 0.995 0.407 0.769
Y5 0.750 0.022 0.391
Y6 0.005 0.593 0.231
Y7 0.495 0.593 0.231
Y8 0.250 0.978 0.609
Pd1 0.250 0.246 0.993
Pd2 0.750 0.754 0.007
Pd3 0.750 0.383 0.418
Pd4 0.250 0.617 0.582

Total magnetization, Bohr magnetons per cell: 0.0
Formation energy from the elements, eV per atom: -0.420
ΔE to the lowest computed polymorph, meV per atom: 0
Crystal system: monoclinic



Entry 3:
Tl2CdSb: relaxed, GGA-PBE.

abc: 5.464 5.464 5.464
angles: 60.00 60.00 60.00
Fractional coordinates of all 4 atoms:
Sb1 0.750 0.750 0.750
Tl1 0.000 0.000 0.000
Tl2 0.250 0.250 0.250
Cd1 0.500 0.500 0.500

Total magnetization, Bohr magnetons per cell: 0.0
Formation energy (no corrections), meV per atom: 46
ΔE to the lowest computed polymorph, meV per atom: 40
Crystal system: cubic



Entry 4:
NaY2Ga: relaxed, GGA-PBE.

abc: 3.587 3.587 11.475
angles: 81.01 81.01 60.00
Fractional coordinates of all 4 atoms:
Y1 0.104 0.104 0.687
Y2 0.896 0.896 0.313
Na1 0.000 0.000 0.000
Ga1 0.500 0.500 0.500

Total magnetization, Bohr magnetons per cell: 0.0
Formation energy from the elements, eV per atom: -0.050
Crystal system: trigonal



Entry 5:
PuBOs: relaxed, GGA-PBE.

abc: 2.934 2.934 5.547
angles: 105.34 105.34 90.00
Fractional coordinates of all 3 atoms:
B1 0.709 0.709 0.418
Os1 0.285 0.285 0.569
Pu1 0.006 0.006 0.013

Total magnetization, Bohr magnetons per cell: 5.0
Formation energy from the elements, eV per atom: -0.083
ΔE to the lowest computed polymorph, meV per atom: 82
Crystal system: tetragonal



Entry 6:
SmCu2Te3: relaxed, GGA-PBE.

abc: 4.211 6.984 11.390
angles: 94.77 90.00 90.00
Fractional coordinates of all 12 atoms:
Sm1 0.250 0.707 0.322
Sm2 0.750 0.293 0.678
Cu1 0.250 0.409 0.892
Cu2 0.750 0.591 0.108
Cu3 0.750 0.046 0.426
Cu4 0.250 0.954 0.574
Te1 0.750 0.945 0.199
Te2 0.250 0.055 0.801
Te3 0.750 0.622 0.879
Te4 0.250 0.378 0.121
Te5 0.250 0.277 0.460
Te6 0.750 0.723 0.540

Total magnetization, Bohr magnetons per cell: 0.0
Formation energy (no corrections), meV per atom: -589
Crystal system: monoclinic



Entry 7:
CaFeTe2: relaxed, GGA-PBE.

abc: 5.143 5.143 3.732
angles: 89.96 89.96 90.00
Fractional coordinates of all 4 atoms:
Ca1 0.500 0.000 0.500
Te1 0.000 0.000 0.000
Te2 0.500 0.500 0.000
Fe1 0.000 0.500 0.500

Total magnetization, Bohr magnetons per cell: 3.0
Formation energy (no corrections), meV per atom: -249
Crystal system: tetragonal



Entry 8:
Ce6GaRu5: relaxed, GGA-PBE.

abc: 7.012 7.169 6.594
angles: 57.07 81.60 74.41
Fractional coordinates of all 12 atoms:
Ce1 0.725 0.097 0.350
Ce2 0.275 0.553 0.350
Ce3 0.226 0.287 0.000
Ce4 0.774 0.713 0.000
Ce5 0.725 0.447 0.650
Ce6 0.275 0.903 0.650
Ga1 0.000 0.000 0.000
Ru1 0.500 0.131 0.737
Ru2 0.000 0.306 0.387
Ru3 0.500 0.500 0.000
Ru4 0.000 0.694 0.613
Ru5 0.500 0.869 0.263

Total magnetization, Bohr magnetons per cell: 0.0
Formation energy from the elements, eV per atom: -0.238
Crystal system: monoclinic



Entry 9:
NaSn2PRh: relaxed, GGA-PBE.

abc: 5.208 4.629 5.208
angles: 90.00 90.00 90.00
Fractional coordinates of all 5 atoms:
P1 0.500 0.500 0.500
Rh1 0.000 0.500 0.000
Sn1 0.000 0.000 0.500
Sn2 0.500 0.000 0.000
Na1 0.000 0.000 0.000

Total magnetization, Bohr magnetons per cell: 0.0
Formation energy from the elements, eV per atom: 1.216
Crystal system: tetragonal



Entry 10:
Be2TcRh: relaxed, GGA-PBE.

abc: 5.958 5.958 4.984
angles: 53.30 53.30 90.00
Fractional coordinates of all 8 atoms:
Be1 0.635 0.125 0.250
Be2 0.115 0.625 0.250
Be3 0.375 0.365 0.750
Be4 0.875 0.885 0.750
Rh1 0.000 0.000 0.000
Rh2 0.750 0.250 0.500
Tc1 0.500 0.500 0.000
Tc2 0.250 0.750 0.500

Total magnetization, Bohr magnetons per cell: 0.0
Formation energy from the elements, eV per atom: 0.116
ΔE to the lowest computed polymorph, meV per atom: 441
Crystal system: tetragonal



Entry 11:
Na2Hf2ScS6: relaxed, GGA-PBE.

abc: 6.356 6.356 7.167
angles: 98.42 98.42 120.12
Fractional coordinates of all 11 atoms:
Na1 0.835 0.165 0.000
Na2 0.165 0.835 0.000
Hf1 0.333 0.667 0.500
Hf2 0.667 0.333 0.500
Sc1 0.000 0.000 0.500
S1 0.733 0.733 0.715
S2 0.071 0.409 0.715
S3 0.267 0.267 0.285
S4 0.409 0.071 0.715
S5 0.929 0.591 0.285
S6 0.591 0.929 0.285

Total magnetization, Bohr magnetons per cell: 0.0
Formation energy (no corrections), meV per atom: -1623
Crystal system: monoclinic



Entry 12:
GdLuZnCr: relaxed, GGA-PBE.

abc: 5.014 5.014 5.014
angles: 60.00 60.00 60.00
Fractional coordinates of all 4 atoms:
Gd1 0.750 0.750 0.750
Cr1 0.500 0.500 0.500
Zn1 0.000 0.000 0.000
Lu1 0.250 0.250 0.250

Total magnetization, Bohr magnetons per cell: 3.6
Formation energy from the elements, eV per atom: 0.002
Crystal system: cubic



Entry 13:
KHf2Mo: relaxed, GGA-PBE.

abc: 7.400 7.400 8.135
angles: 62.94 62.94 90.00
Fractional coordinates of all 8 atoms:
Mo1 0.000 0.000 0.000
Mo2 0.750 0.250 0.500
Hf1 0.875 0.125 0.250
Hf2 0.875 0.625 0.250
Hf3 0.375 0.125 0.750
Hf4 0.875 0.125 0.750
K1 0.500 0.500 0.000
K2 0.250 0.750 0.500

Total magnetization, Bohr magnetons per cell: 0.0
Formation energy from the elements, eV per atom: 1.422
ΔE to the lowest computed polymorph, meV per atom: 406
Crystal system: tetragonal



Entry 14:
ThMg4Cu2: relaxed, GGA-PBE.

abc: 4.159 4.223 8.622
angles: 104.18 90.00 90.00
Fractional coordinates of all 7 atoms:
Th1 0.000 0.000 0.000
Mg1 0.500 0.825 0.651
Mg2 0.000 0.677 0.354
Mg3 0.500 0.175 0.349
Mg4 0.000 0.323 0.646
Cu1 0.500 0.572 0.145
Cu2 0.500 0.428 0.855

Total magnetization, Bohr magnetons per cell: 0.0
Formation energy from the elements, eV per atom: -0.065
Crystal system: orthorhombic



Entry 15:
La3InCo: relaxed, GGA-PBE.

abc: 5.328 5.328 5.328
angles: 90.00 90.00 90.00
Fractional coordinates of all 5 atoms:
In1 0.500 0.500 0.500
Co1 0.000 0.000 0.000
La1 0.000 0.500 0.000
La2 0.000 0.000 0.500
La3 0.500 0.000 0.000

Total magnetization, Bohr magnetons per cell: 0.0
Formation energy from the elements, eV per atom: -0.288
ΔE to the lowest computed polymorph, meV per atom: 4
Crystal system: cubic



Entry 16:
Rb2Pt: relaxed, GGA-PBE.

abc: 5.538 5.538 3.766
angles: 90.00 90.00 120.00
Fractional coordinates of all 3 atoms:
Rb1 0.333 0.667 0.500
Rb2 0.667 0.333 0.500
Pt1 0.000 0.000 0.000

Total magnetization, Bohr magnetons per cell: 0.0
Formation energy from the elements, eV per atom: 0.274
Crystal system: hexagonal



Entry 17:
BaMg8Al4: relaxed, GGA-PBE.

abc: 5.732 7.733 7.733
angles: 82.10 68.24 68.24
Fractional coordinates of all 13 atoms:
Ba1 0.000 0.000 0.000
Mg1 0.000 0.353 0.647
Mg2 0.000 0.647 0.353
Mg3 0.353 0.647 0.647
Mg4 0.647 0.353 0.353
Mg5 0.500 0.779 0.221
Mg6 0.500 0.221 0.779
Mg7 0.279 0.221 0.221
Mg8 0.721 0.779 0.779
Al1 0.000 0.000 0.500
Al2 0.500 0.000 0.500
Al3 0.000 0.500 0.000
Al4 0.500 0.500 0.000

Total magnetization, Bohr magnetons per cell: 0.0
Formation energy from the elements, eV per atom: -0.091
Crystal system: tetragonal



Entry 18:
Tb2Pm2Sb2C: relaxed, GGA-PBE.

abc: 4.817 4.817 8.801
angles: 105.88 105.88 90.00
Fractional coordinates of all 7 atoms:
Tb1 0.000 0.500 0.000
Tb2 0.500 0.000 0.000
Pm1 0.161 0.161 0.323
Pm2 0.839 0.839 0.677
Sb1 0.362 0.362 0.723
Sb2 0.638 0.638 0.277
C1 0.000 0.000 0.000

Total magnetization, Bohr magnetons per cell: 0.0
Formation energy (no corrections), meV per atom: -809
Crystal system: tetragonal



Entry 19:
Tb4NiPb2: relaxed, GGA-PBE.

abc: 6.508 6.760 9.861
angles: 90.00 114.54 90.00
Fractional coordinates of all 14 atoms:
Tb1 0.462 0.501 0.253
Tb2 0.116 0.750 0.883
Tb3 0.884 0.250 0.117
Tb4 0.462 0.999 0.253
Tb5 0.910 0.250 0.596
Tb6 0.538 0.001 0.747
Tb7 0.538 0.499 0.747
Tb8 0.090 0.750 0.404
Ni1 0.100 0.750 0.141
Ni2 0.900 0.250 0.859
Pb1 0.669 0.750 0.053
Pb2 0.331 0.250 0.947
Pb3 0.268 0.250 0.449
Pb4 0.732 0.750 0.551

Total magnetization, Bohr magnetons per cell: 0.0
Formation energy from the elements, eV per atom: -0.372
ΔE to the lowest computed polymorph, meV per atom: 0
Crystal system: monoclinic



Entry 20:
NaTl3Sb: relaxed, GGA-PBE.

abc: 4.720 8.965 7.605
angles: 90.00 90.00 90.00
Fractional coordinates of all 10 atoms:
Na1 0.500 0.000 0.270
Na2 0.000 0.500 0.730
Tl1 0.000 0.709 0.274
Tl2 0.500 0.791 0.726
Tl3 0.500 0.209 0.726
Tl4 0.000 0.291 0.274
Tl5 0.000 0.000 0.961
Tl6 0.500 0.500 0.039
Sb1 0.000 0.000 0.551
Sb2 0.500 0.500 0.449

Total magnetization, Bohr magnetons per cell: 0.0
Formation energy (no corrections), meV per atom: -86
ΔE to the lowest computed polymorph, meV per atom: 21
Crystal system: orthorhombic



Entry 21:
Cd2SnPb8: relaxed, GGA-PBE.

abc: 5.818 8.424 8.424
angles: 64.06 77.76 77.76
Fractional coordinates of all 11 atoms:
Cd1 0.495 0.122 0.122
Cd2 0.505 0.878 0.878
Sn1 0.000 0.000 0.000
Pb1 0.785 0.225 0.633
Pb2 0.215 0.367 0.775
Pb3 0.939 0.229 0.229
Pb4 0.061 0.771 0.771
Pb5 0.785 0.633 0.225
Pb6 0.215 0.775 0.367
Pb7 0.342 0.360 0.360
Pb8 0.658 0.640 0.640

Total magnetization, Bohr magnetons per cell: 0.0
Formation energy from the elements, eV per atom: 0.118
ΔE to the lowest computed polymorph, meV per atom: 61
Crystal system: monoclinic



Entry 22:
RbNa2Ca: relaxed, GGA-PBE.

abc: 4.484 4.484 9.640
angles: 90.00 90.00 90.00
Fractional coordinates of all 4 atoms:
Na1 0.000 0.000 0.795
Na2 0.000 0.000 0.205
Ca1 0.500 0.500 0.000
Rb1 0.500 0.500 0.500

Total magnetization, Bohr magnetons per cell: 0.0
Formation energy from the elements, eV per atom: 0.084
ΔE to the lowest computed polymorph, meV per atom: 0
Crystal system: tetragonal



Entry 23:
AcSm4Y3: relaxed, GGA-PBE.

abc: 3.792 5.926 12.916
angles: 103.26 98.43 90.00
Fractional coordinates of all 8 atoms:
Y1 0.500 0.000 0.000
Y2 0.734 0.234 0.469
Y3 0.266 0.766 0.531
Ac1 0.000 0.500 0.000
Sm1 0.641 0.641 0.281
Sm2 0.359 0.359 0.719
Sm3 0.886 0.886 0.771
Sm4 0.114 0.114 0.229

Total magnetization, Bohr magnetons per cell: 0.0
Formation energy from the elements, eV per atom: 0.089
Crystal system: orthorhombic



Entry 24:
BiTeI2N: relaxed, GGA-PBE.

abc: 6.219 6.219 6.043
angles: 90.00 90.00 90.00
Fractional coordinates of all 5 atoms:
I1 0.000 0.500 0.000
I2 0.500 0.000 0.000
Te1 0.000 0.000 0.500
Bi1 0.000 0.000 0.000
N1 0.500 0.500 0.500

Total magnetization, Bohr magnetons per cell: 4.0
Formation energy (no corrections), meV per atom: 1087
ΔE to the lowest computed polymorph, meV per atom: 344
Crystal system: tetragonal



Entry 25:
Rb3MgTi: relaxed, GGA-PBE.

abc: 7.050 7.050 7.050
angles: 90.00 90.00 90.00
Fractional coordinates of all 5 atoms:
Mg1 0.500 0.500 0.500
Rb1 0.000 0.500 0.000
Rb2 0.000 0.000 0.500
Rb3 0.500 0.000 0.000
Ti1 0.000 0.000 0.000

Total magnetization, Bohr magnetons per cell: 4.8
Formation energy from the elements, eV per atom: 1.002
ΔE to the lowest computed polymorph, meV per atom: 0
Crystal system: cubic